Entry 1:
The following is a PBE-GGA calculation of a geometry-optimized BeGaFeCu structure, from Alexandria via LeMat-Bulk.

Energy of formation from the pure elements: -0.0073 eV per atom
Volume: 180.8 Å³ per cell
Total DFT energy (no corrections): -4.835 eV per atom

Cell: 5.6547 5.6547 5.6547 Å, 90.00 90.00 90.00°
Space group F-43m (No. 216)
One atom of each set of equivalent atoms:
Be  0.0000  0.0000  0.0000 (multiplicity 4)
Ga  0.0000  0.0000  0.5000 (multiplicity 4)
Fe  0.2500  0.2500  0.2500 (multiplicity 4)
Cu  0.2500  0.2500  0.7500 (multiplicity 4)

=====

Entry 2:
The following is a PBE-GGA calculation of a geometry-optimized Li2CaPb structure, from Alexandria via LeMat-Bulk.

Energy of formation from the pure elements: -0.0312 eV per atom
Volume: 336.3 Å³ per cell
Total DFT energy (no corrections): -2.416 eV per atom

Cell: 3.5213 3.5213 31.3161 Å, 90.00 90.00 120.00°
Space group R-3m (No. 166, hexagonal axes)
One atom of each set of equivalent atoms:
Li  0.0000  0.0000  0.2415 (multiplicity 6)
Ca  0.0000  0.0000  0.0000 (multiplicity 3)
Pb  0.0000  0.0000  0.5000 (multiplicity 3)

=====

Entry 3:
The following is a PBE-GGA calculation of a geometry-optimized Y2Er12Sc5 structure, from Alexandria via LeMat-Bulk.

Energy of formation from the pure elements: 0.3762 eV per atom
Volume: 1221.2 Å³ per cell
Total DFT energy (no corrections): -4.852 eV per atom

Cell: 17.6622 6.9550 10.2678 Å, 90.00 104.49 90.00°
Space group C2/m (No. 12)
One atom of each set of equivalent atoms:
Y  0.0000  0.2335  0.0000 (multiplicity 4)
Er  0.0062  0.0000  0.6490 (multiplicity 4)
Er  0.1242  0.5000  0.8261 (multiplicity 4)
Er  0.1671  0.2479  0.5724 (multiplicity 8)
Er  0.2050  0.2674  0.1216 (multiplicity 8)
Sc  0.0000  0.5000  0.5000 (multiplicity 2)
Sc  0.1412  0.0000  0.8744 (multiplicity 4)
Sc  0.1539  0.0000  0.3020 (multiplicity 4)

=====

Entry 4:
The following is a PBE-GGA calculation of a geometry-optimized Re3Ag structure, from Alexandria via LeMat-Bulk.

Offset from the most stable computed form: 0.185 eV/atom
Energy of formation from the pure elements: 0.4614 eV per atom
Volume: 124.3 Å³ per cell
Total DFT energy (no corrections): -9.588 eV per atom

Cell: 9.3944 2.7992 4.8193 Å, 90.00 101.22 90.00°
Space group C2/m (No. 12)
One atom of each set of equivalent atoms:
Re  0.0000  0.0000  0.0000 (multiplicity 2)
Re  0.2391  0.5000  0.2282 (multiplicity 4)
Ag  0.0000  0.5000  0.5000 (multiplicity 2)

=====

Entry 5:
The following is a PBE-GGA calculation of a geometry-optimized Ca2VCo2 structure, from Alexandria via LeMat-Bulk.

Energy of formation from the pure elements: 0.2992 eV per atom
Volume: 189.0 Å³ per cell
Total DFT energy (no corrections): -5.168 eV per atom

Cell: 6.3170 6.3170 4.7370 Å, 90.00 90.00 90.00°
Space group P4/mbm (No. 127)
One atom of each set of equivalent atoms:
Ca  0.1794  0.3206  0.0000 (multiplicity 4)
V  0.0000  0.0000  0.5000 (multiplicity 2)
Co  0.1266  0.6266  0.5000 (multiplicity 4)

=====

Entry 6:
The following is a PBE-GGA calculation of a geometry-optimized BaCd3Hg7 structure, from Alexandria via LeMat-Bulk.

Energy of formation from the pure elements: -0.1326 eV per atom
Volume: 632.2 Å³ per cell
Total DFT energy (no corrections): -0.749 eV per atom

Cell: 7.9451 10.8989 7.3637 Å, 90.00 97.49 90.00°
Space group C2/m (No. 12)
One atom of each set of equivalent atoms:
Ba  0.0000  0.0000  0.0000 (multiplicity 2)
Cd  0.0000  0.2637  0.5000 (multiplicity 4)
Cd  0.0000  0.5000  0.0000 (multiplicity 2)
Hg  0.0000  0.0000  0.5000 (multiplicity 2)
Hg  0.1619  0.5000  0.6490 (multiplicity 4)
Hg  0.2142  0.2974  0.1933 (multiplicity 8)

=====

Entry 7:
The following is a PBE-GGA calculation of a geometry-optimized KHo2C structure, from Alexandria via LeMat-Bulk.

Energy of formation from the pure elements: -0.0386 eV per atom
Volume: 355.2 Å³ per cell
Total DFT energy (no corrections): -4.908 eV per atom

Cell: 3.6029 3.6029 31.6015 Å, 90.00 90.00 120.00°
Space group R-3m (No. 166, hexagonal axes)
One atom of each set of equivalent atoms:
K  0.0000  0.0000  0.0000 (multiplicity 3)
Ho  0.0000  0.0000  0.1247 (multiplicity 6)
C  0.0000  0.0000  0.5000 (multiplicity 3)

=====

Entry 8:
The following is a PBE-GGA calculation of a geometry-optimized PmHo6Tm3Sc2 structure, from Alexandria via LeMat-Bulk.

Energy of formation from the pure elements: 0.0377 eV per atom
Volume: 715.6 Å³ per cell
Total DFT energy (no corrections): -4.820 eV per atom

Cell: 6.0322 10.4361 11.5416 Å, 90.00 99.98 90.00°
Space group C2/m (No. 12)
One atom of each set of equivalent atoms:
Pm  0.0000  0.0000  0.0000 (multiplicity 2)
Ho  0.2474  0.5000  0.2477 (multiplicity 4)
Ho  0.2487  0.3321  0.7522 (multiplicity 8)
Tm  0.0000  0.1672  0.5000 (multiplicity 4)
Tm  0.0000  0.5000  0.5000 (multiplicity 2)
Sc  0.0000  0.3334  0.0000 (multiplicity 4)

=====

Entry 9:
The following is a PBE-GGA calculation of a geometry-optimized K2Te2S structure, from Alexandria via LeMat-Bulk.

Offset from the most stable computed form: 0.010 eV/atom
Volume: 337.5 Å³ per cell
Formation energy (no corrections): -0.5101 eV/atom
Total DFT energy (no corrections): -3.031 eV per atom

Cell: 7.9895 7.9895 5.2876 Å, 90.00 90.00 90.00°
Space group P4/mbm (No. 127)
One atom of each set of equivalent atoms:
K  0.1803  0.3197  0.0000 (multiplicity 4)
Te  0.1255  0.6255  0.5000 (multiplicity 4)
S  0.0000  0.0000  0.5000 (multiplicity 2)

=====

Entry 10:
The following is a PBE-GGA calculation of a geometry-optimized Dy3Ga4 structure, from Alexandria via LeMat-Bulk.

Offset from the most stable computed form: 0.040 eV/atom
Energy of formation from the pure elements: -0.5922 eV per atom
Volume: 626.9 Å³ per cell
Total DFT energy (no corrections): -4.294 eV per atom

Cell: 4.1051 10.8870 14.0270 Å, 90.00 90.00 90.00°
Space group Cmcm (No. 63)
One atom of each set of equivalent atoms:
Dy  0.0000  0.0004  0.2500 (multiplicity 4)
Dy  0.0000  0.2979  0.1002 (multiplicity 8)
Ga  0.0000  0.0000  0.0000 (multiplicity 4)
Ga  0.0000  0.2728  0.7500 (multiplicity 4)
Ga  0.0000  0.4157  0.6009 (multiplicity 8)

=====

Question: volume of number 5 (Ca2VCo2)?
Answer: 189.0 Å³ per cell